[1]
Here is a geometry-optimized ThPaMn structure from Alexandria via LeMat-Bulk. Energies are from PBE-GGA.

Cell and atoms, written as POSCAR:
```
ThPaMn
1.0
6.768 0.000 0.000
0.000 5.860 0.000
-5.072 0.000 7.217
Th Pa Mn
4 4 4
Direct
0.190 0.116 0.398
0.190 0.384 0.898
0.810 0.616 0.102
0.810 0.884 0.602
0.341 0.643 0.636
0.341 0.857 0.136
0.659 0.143 0.864
0.659 0.357 0.364
0.335 0.590 0.327
0.335 0.910 0.827
0.665 0.090 0.173
0.665 0.410 0.673
```

Summary:
electronic total energy: -26.01 eV/f.u.
magnetic moment: 0.000 μB/cell
offset from the most stable computed form: 80 meV per atom
energy of formation from the pure elements: 0.03 eV/atom
space group: No. 14

---

[2]
Here is a geometry-optimized ThPaMn structure from Alexandria via LeMat-Bulk. Energies are from PBE-GGA.

Cell and atoms, written as POSCAR:
```
ThPaMn
1.0
5.742 -1.782 0.000
5.742 1.782 0.000
-5.323 0.000 6.632
Th Pa Mn
2 2 2
Direct
0.068 0.068 0.343
0.932 0.932 0.657
0.313 0.313 0.901
0.687 0.687 0.099
0.342 0.342 0.328
0.658 0.658 0.672
```

Summary:
electronic total energy: -26.25 eV/f.u.
magnetic moment: 0.000 μB/cell
offset from the most stable computed form: 0 meV per atom
energy of formation from the pure elements: -0.05 eV/atom
space group: No. 12